1.
# Rb2BiTeO6, optimized geometry, DFT PBE
data_Rb2BiTeO6
_chemical_formula_sum 'Rb12 Bi6 Te6 O36'
_space_group_name_H-M_alt 'R -3 m'
_space_group_IT_number 166
_space_group_name_Hall '-R 3 2"'
_cell_length_a 6.3293
_cell_length_b 6.3293
_cell_length_c 29.9735
_cell_angle_alpha 90.00
_cell_angle_beta 90.00
_cell_angle_gamma 120.00
loop_
_atom_site_label
_atom_site_type_symbol
_atom_site_fract_x
_atom_site_fract_y
_atom_site_fract_z
_atom_site_occupancy
Rb1 Rb 0.0000 0.0000 0.1308 1
Rb2 Rb 0.0000 0.0000 0.2726 1
Bi1 Bi 0.0000 0.0000 0.4015 1
Te1 Te 0.0000 0.0000 0.0000 1
Te2 Te 0.0000 0.0000 0.5000 1
O1 O 0.0455 0.5228 0.7063 1
O2 O 0.0534 0.5267 0.1254 1
# Crystal system   trigonal
# Magnetization   0.00 μB/f.u.
# N(E_F)   2.7 states/eV/f.u.
# Raw formation energy   -1.239 eV/atom
# E   -5.1094 eV per atom

---

2.
# ThZn2Ni2, optimized geometry, DFT PBE
data_ThZn2Ni2
_chemical_formula_sum 'Th2 Zn4 Ni4'
_space_group_name_H-M_alt 'I 4/m m m'
_space_group_IT_number 139
_space_group_name_Hall '-I 4 2'
_cell_length_a 3.799
_cell_length_b 3.799
_cell_length_c 11.643
_cell_angle_alpha 90.00
_cell_angle_beta 90.00
_cell_angle_gamma 90.00
loop_
_atom_site_label
_atom_site_type_symbol
_atom_site_fract_x
_atom_site_fract_y
_atom_site_fract_z
_atom_site_occupancy
Th1 Th 0.000 0.000 0.000 1
Zn1 Zn 0.000 0.500 0.250 1
Ni1 Ni 0.000 0.000 0.396 1
# Crystal system   tetragonal
# Magnetization   0.00 μB/f.u.
# N(E_F)   3.4 states/eV/f.u.
# E   -4.6893 eV per atom

---

3.
# In4Ag, optimized geometry, DFT PBE
data_In4Ag
_chemical_formula_sum 'In8 Ag2'
_space_group_name_H-M_alt 'I m -3 m'
_space_group_IT_number 229
_space_group_name_Hall '-I 4 2 3'
_cell_length_a 6.568
_cell_length_b 6.568
_cell_length_c 6.568
_cell_angle_alpha 90.00
_cell_angle_beta 90.00
_cell_angle_gamma 90.00
loop_
_atom_site_label
_atom_site_type_symbol
_atom_site_fract_x
_atom_site_fract_y
_atom_site_fract_z
_atom_site_occupancy
In1 In 0.250 0.250 0.250 1
Ag1 Ag 0.000 0.000 0.000 1
# Crystal system   cubic
# Magnetization   0.00 μB/f.u.
# N(E_F)   5.1 states/eV/f.u.
# E   -2.6064 eV per atom

---

4.
# SrLa2Si, optimized geometry, DFT PBE
data_SrLa2Si
_chemical_formula_sum 'Sr4 La8 Si4'
_space_group_name_H-M_alt 'I -4 2 d'
_space_group_IT_number 122
_space_group_name_Hall 'I -4 2bw'
_cell_length_a 9.243
_cell_length_b 9.243
_cell_length_c 6.725
_cell_angle_alpha 90.00
_cell_angle_beta 90.00
_cell_angle_gamma 90.00
loop_
_atom_site_label
_atom_site_type_symbol
_atom_site_fract_x
_atom_site_fract_y
_atom_site_fract_z
_atom_site_occupancy
Sr1 Sr 0.000 0.000 0.000 1
La1 La 0.182 0.250 0.625 1
Si1 Si 0.000 0.000 0.500 1
# Crystal system   tetragonal
# Magnetization   0.00 μB/f.u.
# N(E_F)   1.5 states/eV/f.u.
# Raw formation energy   -0.061 eV/atom
# E   -4.3007 eV per atom

---

Copy entry 1 word for word.
# Rb2BiTeO6, optimized geometry, DFT PBE
data_Rb2BiTeO6
_chemical_formula_sum 'Rb12 Bi6 Te6 O36'
_space_group_name_H-M_alt 'R -3 m'
_space_group_IT_number 166
_space_group_name_Hall '-R 3 2"'
_cell_length_a 6.3293
_cell_length_b 6.3293
_cell_length_c 29.9735
_cell_angle_alpha 90.00
_cell_angle_beta 90.00
_cell_angle_gamma 120.00
loop_
_atom_site_label
_atom_site_type_symbol
_atom_site_fract_x
_atom_site_fract_y
_atom_site_fract_z
_atom_site_occupancy
Rb1 Rb 0.0000 0.0000 0.1308 1
Rb2 Rb 0.0000 0.0000 0.2726 1
Bi1 Bi 0.0000 0.0000 0.4015 1
Te1 Te 0.0000 0.0000 0.0000 1
Te2 Te 0.0000 0.0000 0.5000 1
O1 O 0.0455 0.5228 0.7063 1
O2 O 0.0534 0.5267 0.1254 1
# Crystal system   trigonal
# Magnetization   0.00 μB/f.u.
# N(E_F)   2.7 states/eV/f.u.
# Raw formation energy   -1.239 eV/atom
# E   -5.1094 eV per atom